(1)
This record from Alexandria via LeMat-Bulk describes a relaxed La6Rh2I3Cl crystal. The functional is PBE.

Calculated values
- DOS at the Fermi energy (states/eV per cell) = 9.13
- crystal system = monoclinic
- space-group type = C2/m
- energy (eV/cell) = -64.1
- formation energy (no corrections) (eV/atom) = -1.113
- size of the total moment (μB/atom) = 0.000
- density (g/cm3) = 6.2

Unit cell a=7.468 b=7.468 c=8.456 alpha=98.43 beta=98.43 gamma=119.97
Atoms (fractional coordinates):
La 0.076 0.433 0.806
La 0.206 0.206 0.192
La 0.433 0.076 0.806
La 0.567 0.924 0.194
La 0.794 0.794 0.808
La 0.924 0.567 0.194
Rh 0.167 0.833 0.000
Rh 0.833 0.167 0.000
I 0.000 0.000 0.500
I 0.339 0.661 0.500
I 0.661 0.339 0.500
Cl 0.500 0.500 0.000

(2)
This record from Alexandria via LeMat-Bulk describes a relaxed La3RhICl crystal. The functional is PBE.

Calculated values
- DOS at the Fermi energy (states/eV per cell) = 8.36
- crystal system = monoclinic
- space-group type = P2_1/m
- energy (eV/cell) = -64.8
- formation energy (no corrections) (eV/atom) = -1.147
- size of the total moment (μB/atom) = 0.100
- density (g/cm3) = 5.5

Unit cell a=9.857 b=4.177 c=10.043 alpha=90.00 beta=94.38 gamma=90.00
Atoms (fractional coordinates):
La 0.077 0.250 0.354
La 0.151 0.250 0.928
La 0.327 0.750 0.646
La 0.673 0.250 0.354
La 0.849 0.750 0.072
La 0.923 0.750 0.646
Rh 0.131 0.250 0.648
Rh 0.869 0.750 0.352
I 0.383 0.750 0.324
I 0.617 0.250 0.676
Cl 0.360 0.750 0.935
Cl 0.640 0.250 0.065

(3)
This record from Alexandria via LeMat-Bulk describes a relaxed La6Ru3ICl2 crystal. The functional is PBE.

Calculated values
- DOS at the Fermi energy (states/eV per cell) = 6.77
- crystal system = monoclinic
- space-group type = C2/m
- energy (eV/cell) = -73.7
- formation energy (no corrections) (eV/atom) = -0.920
- size of the total moment (μB/atom) = 0.000
- density (g/cm3) = 6.2

Unit cell a=10.119 b=10.119 c=9.202 alpha=110.76 beta=110.76 gamma=23.94
Atoms (fractional coordinates):
La 0.011 0.011 0.210
La 0.315 0.315 0.440
La 0.340 0.340 0.892
La 0.660 0.660 0.108
La 0.685 0.685 0.560
La 0.989 0.989 0.790
Ru 0.170 0.170 0.321
Ru 0.500 0.500 0.000
Ru 0.830 0.830 0.679
I 0.500 0.500 0.500
Cl 0.169 0.169 0.833
Cl 0.831 0.831 0.167

(4)
This record from Alexandria via LeMat-Bulk describes a relaxed La8Ru3I4Cl crystal. The functional is PBE.

Calculated values
- DOS at the Fermi energy (states/eV per cell) = 10.37
- crystal system = trigonal
- space-group type = R-3m
- energy (eV/cell) = -90.1
- formation energy (no corrections) (eV/atom) = -0.927
- size of the total moment (μB/atom) = 0.000
- density (g/cm3) = 6.2

Unit cell a=9.561 b=9.561 c=9.561 alpha=53.26 beta=53.26 gamma=53.26
Atoms (fractional coordinates):
La 0.204 0.742 0.742
La 0.230 0.230 0.230
La 0.258 0.258 0.796
La 0.258 0.796 0.258
La 0.742 0.204 0.742
La 0.742 0.742 0.204
La 0.770 0.770 0.770
La 0.796 0.258 0.258
Ru 0.000 0.000 0.500
Ru 0.000 0.500 0.000
Ru 0.500 0.000 0.000
I 0.000 0.000 0.000
I 0.000 0.500 0.500
I 0.500 0.000 0.500
I 0.500 0.500 0.000
Cl 0.500 0.500 0.500